No. 1
Density functional theory data (PBE) for a relaxed structure of Hf5Ti4.

a = 4.264 Å, b = 6.860 Å, c = 6.860 Å
α = 84.50°, β = 71.94°, γ = 71.94°
Positions (direct):
Hf1 0.328 0.339 0.006
Hf2 0.000 0.667 0.333
Hf3 0.000 0.339 0.661
Hf4 0.672 0.994 0.661
Hf5 0.000 0.994 0.006
Ti1 0.330 0.006 0.333
Ti2 0.330 0.667 0.673
Ti3 0.670 0.327 0.333
Ti4 0.670 0.667 0.994

## Properties
* calculated formation energy: 0.09 eV/atom
* energy: -8.95 eV per atom
* space-group type: I4/mmm

---

No. 2
Density functional theory data (PBE) for a relaxed structure of Ba3Mg2Cd2Hg4.

a = 5.142 Å, b = 5.142 Å, c = 15.873 Å
α = 90.00°, β = 90.00°, γ = 120.00°
Positions (direct):
Ba1 0.000 0.000 0.276
Ba2 0.000 0.000 0.000
Ba3 0.000 0.000 0.724
Cd1 0.333 0.667 0.140
Cd2 0.667 0.333 0.860
Hg1 0.667 0.333 0.607
Hg2 0.333 0.667 0.862
Hg3 0.333 0.667 0.393
Hg4 0.667 0.333 0.138
Mg1 0.667 0.333 0.432
Mg2 0.333 0.667 0.568

## Properties
* calculated formation energy: -0.33 eV/atom
* energy: -1.42 eV per atom
* space-group type: P-3m1

---

No. 3
Density functional theory data (PBE) for a relaxed structure of NaLaTm2.

a = 3.519 Å, b = 3.519 Å, c = 12.836 Å
α = 82.12°, β = 82.12°, γ = 60.00°
Positions (direct):
Na1 0.000 0.000 0.000
Tm1 0.091 0.091 0.726
Tm2 0.909 0.909 0.274
La1 0.500 0.500 0.500

## Properties
* calculated formation energy: 0.20 eV/atom
* energy: -3.59 eV per atom
* space-group type: R-3m